Record 1
{
  "formula": "Ta2OsPb",
  "functional": "GGA-PBE",
  "state": "optimized geometry",
  "space_group": "No. 35",
  "e_form_ev_per_atom": 0.4424,
  "cell": [[2.988, -0.035, 0.000], [-1.088, 2.783, 0.000], [0.000, 0.000, 9.309]],
  "species": ["Os", "Pb", "Ta", "Ta"],
  "frac_coords": [[0.000, 0.000, 0.475], [0.500, 0.500, 0.743], [0.000, 0.000, 0.020], [0.500, 0.500, 0.262]]
}

---

Record 2
{
  "formula": "NaLaSi2O6",
  "functional": "GGA-PBE",
  "state": "optimized geometry",
  "space_group": "No. 15",
  "formation_energy_uncorrected_ev_per_fu": -27.62,
  "cell": [[-1.416, 4.386, -4.964], [4.207, -4.922, -1.988], [-6.002, -3.615, 0.033]],
  "species": ["Na", "Na", "La", "La", "Si", "Si", "Si", "Si", "O", "O", "O", "O", "O", "O", "O", "O", "O", "O", "O", "O"],
  "frac_coords": [[0.034, 0.966, 0.250], [0.966, 0.034, 0.750], [0.590, 0.410, 0.250], [0.410, 0.590, 0.750], [0.491, 0.168, 0.623], [0.832, 0.509, 0.877], [0.509, 0.832, 0.377], [0.168, 0.491, 0.123], [0.945, 0.535, 0.148], [0.465, 0.055, 0.352], [0.055, 0.465, 0.852], [0.535, 0.945, 0.648], [0.194, 0.259, 0.094], [0.741, 0.806, 0.406], [0.806, 0.741, 0.906], [0.259, 0.194, 0.594], [0.302, 0.591, 0.390], [0.409, 0.698, 0.110], [0.698, 0.409, 0.610], [0.591, 0.302, 0.890]]
}

---

Record 3
{
  "formula": "SrPr2Ge",
  "functional": "GGA-PBE",
  "state": "optimized geometry",
  "space_group": "No. 160",
  "e_form_ev_per_atom": -0.2901,
  "polymorph_energy_mev_per_atom": 0.0,
  "cell": [[4.310, 0.000, 0.000], [2.155, 3.733, 0.000], [2.155, 1.244, 10.023]],
  "species": ["Sr", "Pr", "Pr", "Ge"],
  "frac_coords": [[0.501, 0.501, 0.497], [0.054, 0.054, 0.839], [0.279, 0.279, 0.162], [0.666, 0.666, 0.002]]
}

---

| no. | total magnetic moment (Bohr magnetons per cell) | electronic total energy (eV/atom) |
| --- | --- | --- |
| 1 | 0.00 | -9.218 |
| 2 | 0.00 | -7.446 |
| 3 | 1.66 | -4.255 |